A relaxed BaAg2Os crystal. Source: Alexandria via LeMat-Bulk, functional PBEsol.

Unit cell a=2.989 b=2.989 c=10.425 alpha=81.76 beta=81.76 gamma=60.00
Fractional coordinates of all 4 atoms:
Os (0.000, 0.000, 0.000)
Ba (0.500, 0.500, 0.500)
Ag (0.263, 0.263, 0.212)
Ag (0.737, 0.737, 0.788)

Calculated values
mass density	11.34	Mg/m³
total DFT energy (no corrections)	-17.08	eV per cell
E above lowest polymorph	220	meV/atom
space group	R-3m (166)
calculated formation energy	0.98	eV/atom